[1]
DFT (GGA-PBE) results for a relaxed Cs2LaHI6 crystal.

```
Cs2LaHI6
1.0
-4.8191 4.8191 5.1211
4.8191 -4.8191 5.1211
4.8191 4.8191 -5.1211
Cs La H I
2 1 1 6
Cartesian
4.8191 0.0000 2.5606
0.0000 4.8191 2.5606
0.0000 0.0000 0.0000
0.0000 0.0000 5.1211
2.2126 2.2126 0.0000
2.6065 -2.6065 5.1211
0.0000 0.0000 3.2177
0.0000 0.0000 7.0246
-2.6065 2.6065 5.1211
2.6065 2.6065 5.1211
```

The calculation puts the final energy at -3.11 eV per atom. As for the density: 4074 kg/m3. The volume comes out at 475.72 Å³/f.u.

[2]
DFT (GGA-PBE) results for a relaxed K2FeAs crystal.

```
K2FeAs
1.0
4.5129 0.0000 0.0000
0.0000 2.7766 5.4401
0.0000 -2.7766 5.4401
K Fe As
2 1 1
Cartesian
0.0000 0.0000 0.0000
2.2564 0.0000 3.3255
2.2564 0.0000 6.8982
0.0000 0.0000 7.4431
```

The calculation puts the final energy at -3.80 eV per atom. As for the density: 2545 kg/m3. The volume comes out at 136.33 Å³/f.u. The calculation puts the energy of formation at 31 meV/atom.

Please write out number 2 again, unchanged.
DFT (GGA-PBE) results for a relaxed K2FeAs crystal.

```
K2FeAs
1.0
4.5129 0.0000 0.0000
0.0000 2.7766 5.4401
0.0000 -2.7766 5.4401
K Fe As
2 1 1
Cartesian
0.0000 0.0000 0.0000
2.2564 0.0000 3.3255
2.2564 0.0000 6.8982
0.0000 0.0000 7.4431
```

The calculation puts the final energy at -3.80 eV per atom. As for the density: 2545 kg/m3. The volume comes out at 136.33 Å³/f.u. The calculation puts the energy of formation at 31 meV/atom.

Q: Among the records above, which one has the lowest volume?
A: K2FeAs